Computed, not measured: a geometry-optimized KBSe4 structure at the PBE-GGA level of DFT.

**ΔE to the lowest computed polymorph**: 0.128 eV per atom
**Uncorrected formation energy**: -0.31 eV/atom

Lattice parameters (Å, degrees): 5.980 9.274 11.061 105.15 101.71 106.00
Element x y z (fractional)
K: 0.182 0.199 0.233
K: 0.818 0.801 0.767
B: 0.000 0.500 0.500
B: 0.500 0.000 0.000
Se: 0.144 0.036 0.610
Se: 0.183 0.597 0.671
Se: 0.351 0.131 0.952
Se: 0.384 0.896 0.537
Se: 0.616 0.104 0.463
Se: 0.649 0.869 0.048
Se: 0.817 0.403 0.329
Se: 0.856 0.964 0.390

---

Computed, not measured: a geometry-optimized ThGa3Au4 structure at the PBE-GGA level of DFT.

**ΔH_f (0 K)**: -405.4 meV per atom

Lattice parameters (Å, degrees): 4.446 4.446 8.159 90.00 90.00 90.00
Element x y z (fractional)
Th: 0.000 0.000 0.000
Ga: 0.000 0.000 0.500
Ga: 0.500 0.500 0.149
Ga: 0.500 0.500 0.851
Au: 0.000 0.500 0.315
Au: 0.000 0.500 0.685
Au: 0.500 0.000 0.315
Au: 0.500 0.000 0.685

---

Computed, not measured: a geometry-optimized ScCoOs2 structure at the PBE-GGA level of DFT.

**ΔH_f (0 K)**: 265.6 meV per atom
**ΔE to the lowest computed polymorph**: 0.311 eV per atom

Lattice parameters (Å, degrees): 8.927 8.927 8.927 17.99 17.99 17.99
Element x y z (fractional)
Sc: 0.000 0.000 0.000
Co: 0.749 0.749 0.749
Os: 0.241 0.241 0.241
Os: 0.493 0.493 0.493